No. 1
Computed, not measured: a geometry-optimized LaTc2Se structure at the GGA-PBE level of DFT.

Calculated values
Final energy   -7.30 eV/atom
Space group   P2/m (10)
Spin magnetization   0.0 Bohr magnetons per cell
ρ   8.058 g/cm3

a b c (Å): 4.259 4.694 4.279
angles (deg): 90.00 94.43 90.00
Fractional positions:
La 0.000 0.000 0.000
Tc 0.255 0.500 0.644
Tc 0.745 0.500 0.356
Se 0.500 0.000 0.500


No. 2
Computed, not measured: a geometry-optimized KTaCu2Br8 structure at the GGA-PBE level of DFT.

Calculated values
Final energy   -3.59 eV/atom
Space group   R32 (155)
Spin magnetization   0.0 Bohr magnetons per cell
ρ   3.979 g/cm3

a b c (Å): 12.069 12.069 12.069
angles (deg): 30.91 30.91 30.91
Fractional positions:
K 0.000 0.000 0.000
Ta 0.500 0.500 0.500
Cu 0.241 0.241 0.241
Cu 0.759 0.759 0.759
Br 0.155 0.434 0.766
Br 0.234 0.566 0.845
Br 0.308 0.308 0.308
Br 0.434 0.766 0.155
Br 0.566 0.845 0.234
Br 0.692 0.692 0.692
Br 0.766 0.155 0.434
Br 0.845 0.234 0.566


No. 3
Computed, not measured: a geometry-optimized Ta2AgAu structure at the GGA-PBE level of DFT.

Calculated values
Formation energy from the elements   0.020 eV per atom
Space group   Cmm2 (35)
Spin magnetization   0.0 Bohr magnetons per cell
ρ   15.424 g/cm3
Offset from the most stable computed form   0 meV/atom

a b c (Å): 2.845 2.845 8.936
angles (deg): 90.00 90.00 97.21
Fractional positions:
Ta 0.000 0.000 0.000
Ta 0.500 0.500 0.249
Ag 0.500 0.500 0.747
Au 0.000 0.000 0.492


No. 4
Computed, not measured: a geometry-optimized Sr3Sn5 structure at the GGA-PBE level of DFT.

Calculated values
Formation energy from the elements   -0.571 eV per atom
Space group   Cmcm (63)
Spin magnetization   0.0 Bohr magnetons per cell
ρ   5.573 g/cm3
Offset from the most stable computed form   0 meV/atom

a b c (Å): 6.893 6.893 10.996
angles (deg): 90.00 90.00 77.60
Fractional positions:
Sr 0.146 0.854 0.750
Sr 0.297 0.297 0.000
Sr 0.297 0.297 0.500
Sr 0.703 0.703 0.000
Sr 0.703 0.703 0.500
Sr 0.854 0.146 0.250
Sn 0.008 0.591 0.250
Sn 0.188 0.812 0.053
Sn 0.188 0.812 0.447
Sn 0.409 0.992 0.250
Sn 0.457 0.543 0.250
Sn 0.543 0.457 0.750
Sn 0.591 0.008 0.750
Sn 0.812 0.188 0.553
Sn 0.812 0.188 0.947
Sn 0.992 0.409 0.750


No. 5
Computed, not measured: a geometry-optimized SmTmTe2Se structure at the GGA-PBE level of DFT.

Calculated values
Final energy   -5.16 eV/atom
Space group   P4/nmm (129)
Spin magnetization   0.0 Bohr magnetons per cell
ρ   7.468 g/cm3

a b c (Å): 4.326 4.326 15.528
angles (deg): 90.00 90.00 90.00
Fractional positions:
Sm 0.250 0.250 0.131
Sm 0.750 0.750 0.869
Tm 0.250 0.250 0.590
Tm 0.750 0.750 0.410
Te 0.250 0.250 0.393
Te 0.250 0.250 0.788
Te 0.750 0.750 0.212
Te 0.750 0.750 0.607
Se 0.250 0.750 0.000
Se 0.750 0.250 0.000


No. 6
Computed, not measured: a geometry-optimized BeNi2Rh structure at the GGA-PBE level of DFT.

Calculated values
Formation energy from the elements   -0.045 eV per atom
Space group   R-3m (166)
Spin magnetization   1.2 Bohr magnetons per cell
ρ   8.458 g/cm3

a b c (Å): 7.938 7.938 7.938
angles (deg): 18.72 18.72 18.72
Fractional positions:
Be 0.000 0.000 0.000
Ni 0.260 0.260 0.260
Ni 0.740 0.740 0.740
Rh 0.500 0.500 0.500